This record from the Alexandria database describes a relaxed structure of Sc2SbHRh. The functional is PBE.

- ΔE to the lowest computed polymorph: 0.0000 eV per atom
- Total magnetization: 0.338 μB/cell
- Uncorrected energy: -31.04 eV per formula unit

```
Sc2SbHRh
1.0
4.489 0.000 0.000
0.000 4.489 0.000
0.000 0.000 3.934
Sc Sb H Rh
2 1 1 1
Direct
0.000 0.500 0.000
0.500 0.000 0.000
0.000 0.000 0.500
0.500 0.500 0.000
0.500 0.500 0.500
```

This record from the Alexandria database describes a relaxed structure of Sc2SbHRh. The functional is PBE.

- ΔE to the lowest computed polymorph: 1.0145 eV per atom
- Total magnetization: 0.000 μB/cell
- Uncorrected energy: -25.97 eV per formula unit

```
Sc2SbHRh
1.0
5.445 0.000 0.000
0.000 5.445 0.000
0.000 0.000 3.533
Sc Sb H Rh
2 1 1 1
Direct
0.000 0.500 0.000
0.500 0.000 0.000
0.000 0.000 0.000
0.000 0.000 0.500
0.500 0.500 0.500
```

This record from the Alexandria database describes a relaxed structure of SmSbHRh. The functional is PBE.

- Total magnetization: 0.000 μB/cell
- Uncorrected energy: -22.83 eV per formula unit

```
SmSbHRh
1.0
4.657 0.000 0.000
-2.329 4.033 0.000
0.000 0.000 3.682
Sm Sb H Rh
1 1 1 1
Direct
0.000 0.000 0.000
0.333 0.667 0.500
0.667 0.333 0.000
0.667 0.333 0.500
```